## ZnPCl (GGA-PBE)

Data for an optimized crystal structure of ZnPCl.

Unit cell a=3.338 b=8.044 c=5.389 alpha=102.72 beta=90.00 gamma=90.00
Fractional coordinates of all 6 atoms:
Zn 0.000 0.911 0.948
Zn 0.000 0.597 0.384
P 0.500 0.037 0.634
P 0.000 0.896 0.396
Cl 0.000 0.615 0.825
Cl 0.500 0.402 0.246

DFT total energy   -3.29 eV per atom
Magnetic moment   0.0 μB per cell
Formation energy (no corrections)   -0.4496 eV/atom
E above lowest polymorph   0 meV per atom
Space group   Pm